Li3Sm5S8: relaxed, PBE-GGA.

Values from the calculation:
Formation energy from raw total energies = -1.87 eV per atom

Lattice parameters (Å, degrees): 7.950 7.950 7.866 59.65 59.65 60.00
Fractional coordinates of all 16 atoms:
S (0.250, 0.757, 0.743)
S (0.751, 0.751, 0.746)
S (0.757, 0.250, 0.743)
S (0.750, 0.750, 0.257)
S (0.249, 0.249, 0.254)
S (0.243, 0.750, 0.257)
S (0.750, 0.243, 0.257)
S (0.250, 0.250, 0.743)
Sm (0.500, 0.000, 0.000)
Sm (0.000, 0.000, 0.000)
Sm (0.500, 0.500, 0.000)
Sm (0.000, 0.500, 0.000)
Sm (0.500, 0.500, 0.500)
Li (0.000, 0.000, 0.500)
Li (0.000, 0.500, 0.500)
Li (0.500, 0.000, 0.500)



NpAgBr4: relaxed, PBE-GGA.

Values from the calculation:
Formation energy from raw total energies = -0.97 eV per atom

Lattice parameters (Å, degrees): 4.249 6.938 7.178 86.00 90.00 90.00
Last column: magnetic moment on the atom in μB.
Fractional coordinates of all 6 atoms:
Br (0.000, 0.249, 0.343)  -0.03
Br (0.500, 0.222, 0.824)  -0.02
Br (0.000, 0.751, 0.657)  -0.03
Br (0.500, 0.778, 0.176)  -0.02
Ag (0.000, 0.000, 0.000)  0.00
Np (0.500, 0.000, 0.500)  3.98



La3TbEr2: relaxed, PBE-GGA.

Values from the calculation:
Offset from the most stable computed form = 1.13 eV per formula unit

Lattice parameters (Å, degrees): 3.485 6.003 10.459 106.67 99.59 90.00
Fractional coordinates of all 6 atoms:
Er (0.363, 0.363, 0.725)
Er (0.637, 0.637, 0.275)
La (0.813, 0.813, 0.625)
La (0.000, 0.500, 0.000)
La (0.187, 0.187, 0.375)
Tb (0.000, 0.000, 0.000)



AlCu4Pd7: relaxed, PBE-GGA.

Values from the calculation:
Offset from the most stable computed form = 0.00 eV per formula unit

Lattice parameters (Å, degrees): 5.426 4.756 7.775 75.54 63.71 93.35
Fractional coordinates of all 12 atoms:
Pd (0.251, 0.478, 0.997)
Pd (0.742, 0.156, 0.333)
Pd (0.258, 0.844, 0.667)
Pd (0.995, 0.675, 0.331)
Pd (0.749, 0.522, 0.003)
Pd (0.500, 0.000, 0.000)
Pd (0.005, 0.325, 0.669)
Cu (0.754, 0.832, 0.665)
Cu (0.246, 0.168, 0.335)
Cu (0.516, 0.347, 0.658)
Cu (0.484, 0.653, 0.342)
Al (0.000, 0.000, 0.000)



In2AgHg: relaxed, PBE-GGA.

Values from the calculation:
DFT total energy = -2.111 eV/atom

Lattice parameters (Å, degrees): 4.179 3.312 7.620 64.55 90.00 90.00
Fractional coordinates of all 4 atoms:
Hg (0.500, 0.750, 0.750)
In (0.000, 0.507, 0.484)
In (0.000, 0.993, 0.016)
Ag (0.500, 0.250, 0.250)



UAl10Fe3: relaxed, PBE-GGA.

Values from the calculation:
DFT total energy = -5.310 eV/atom

Lattice parameters (Å, degrees): 8.761 8.761 8.761 60.00 60.00 60.00
Last column: magnetic moment on the atom in μB.
Fractional coordinates of all 28 atoms:
Al (0.607, 0.607, 0.607)  0.00
Al (0.393, 0.393, 0.393)  0.00
Al (0.673, 0.000, 0.000)  -0.01
Al (0.327, 0.000, 0.000)  -0.01
Al (0.000, 0.000, 0.327)  -0.01
Al (0.393, 0.822, 0.393)  0.00
Al (0.393, 0.393, 0.822)  0.00
Al (0.000, 0.327, 0.673)  -0.01
Al (0.673, 0.000, 0.327)  -0.01
Al (0.000, 0.673, 0.327)  -0.01
Al (0.000, 0.000, 0.673)  -0.01
Al (0.327, 0.673, 0.000)  -0.01
Al (0.327, 0.000, 0.673)  -0.01
Al (0.000, 0.673, 0.000)  -0.01
Al (0.607, 0.607, 0.178)  0.00
Al (0.178, 0.607, 0.607)  0.00
Al (0.607, 0.178, 0.607)  0.00
Al (0.000, 0.327, 0.000)  -0.01
Al (0.822, 0.393, 0.393)  0.00
Al (0.673, 0.327, 0.000)  -0.01
Fe (0.263, 0.737, 0.263)  1.06
Fe (0.737, 0.737, 0.263)  1.06
Fe (0.263, 0.263, 0.737)  1.06
Fe (0.737, 0.263, 0.737)  1.06
Fe (0.263, 0.737, 0.737)  1.06
Fe (0.737, 0.263, 0.263)  1.06
U (0.750, 0.750, 0.750)  2.90
U (0.250, 0.250, 0.250)  2.90